A plane-wave DFT calculation with GGA-PBE was carried out for a geometry-optimized La2InNi4Ge3 structure.

Calculated values
* magnetic moment: 0.0 μB per cell
* energy of formation from the pure elements: -6.15 eV/f.u.
* density of states at the Fermi level: 5.45 states/eV/f.u.

abc: 4.252 4.252 10.051
angles: 90.00 90.00 90.00
Sites, in units of the cell vectors:
La: 0.500 0.000 0.238
La: 0.000 0.500 0.762
In: 0.500 0.500 0.500
Ni: 0.500 0.500 0.000
Ni: 0.000 0.000 0.000
Ni: 0.500 0.000 0.643
Ni: 0.000 0.500 0.357
Ge: 0.000 0.000 0.500
Ge: 0.500 0.000 0.881
Ge: 0.000 0.500 0.119